# 1
## AgPt2N (PBE)

Data for AgPt2N after structural relaxation. Values from VASP.

Calculated values
As for the space group: I-42d (122). As for the density: 10.873 g cm⁻³.

```
&SYSTEM
  ibrav = 0, nat = 8, ntyp = 3
/
ATOMIC_SPECIES
Ag 107.87 Ag.upf
Pt 195.08 Pt.upf
N 14.01 N.upf
ATOMIC_POSITIONS crystal
Ag 0.000 0.000 0.000
Ag 0.750 0.250 0.500
Pt 0.413 0.125 0.250
Pt 0.337 0.625 0.250
Pt 0.375 0.587 0.750
Pt 0.875 0.663 0.750
N 0.500 0.500 0.000
N 0.250 0.750 0.500
CELL_PARAMETERS angstrom
-2.453 -4.303 -1.289
3.820 -2.771 1.981
-2.074 -3.552 5.642
```

=====

# 2
## AgPtN3 (PBE)

Data for AgPtN3 after structural relaxation. Values from VASP.

Calculated values
As for the space group: Pm-3m (221). As for the density: 9.339 g cm⁻³.

```
&SYSTEM
  ibrav = 0, nat = 5, ntyp = 3
/
ATOMIC_SPECIES
Ag 107.87 Ag.upf
Pt 195.08 Pt.upf
N 14.01 N.upf
ATOMIC_POSITIONS crystal
Ag 0.500 0.500 0.500
Pt 0.000 0.000 0.000
N 0.000 0.500 0.000
N 0.000 0.000 0.500
N 0.500 0.000 0.000
CELL_PARAMETERS angstrom
-2.602 2.952 0.256
-2.366 -1.864 -2.546
-1.785 -1.833 3.001
```

=====

# 3
## AgPt2N2 (PBE)

Data for AgPt2N2 after structural relaxation. Values from VASP.

Calculated values
As for the space group: I4/mmm (139). As for the density: 12.774 g cm⁻³.

```
&SYSTEM
  ibrav = 0, nat = 5, ntyp = 3
/
ATOMIC_SPECIES
Ag 107.87 Ag.upf
Pt 195.08 Pt.upf
N 14.01 N.upf
ATOMIC_POSITIONS crystal
Ag 0.000 0.000 0.000
Pt 0.750 0.250 0.500
Pt 0.250 0.750 0.500
N 0.427 0.427 0.146
N 0.573 0.573 0.854
CELL_PARAMETERS angstrom
4.102 0.000 0.000
0.000 4.102 0.000
2.051 2.051 4.063
```

=====

# 4
## AgPt3N (PBE)

Data for AgPt3N after structural relaxation. Values from VASP.

Calculated values
As for the space group: Pm-3m (221). As for the density: 10.040 g cm⁻³.

```
&SYSTEM
  ibrav = 0, nat = 5, ntyp = 3
/
ATOMIC_SPECIES
Ag 107.87 Ag.upf
Pt 195.08 Pt.upf
N 14.01 N.upf
ATOMIC_POSITIONS crystal
Ag 0.000 0.000 0.000
Pt 0.000 0.500 0.000
Pt 0.000 0.000 0.500
Pt 0.500 0.000 0.000
N 0.500 0.500 0.500
CELL_PARAMETERS angstrom
4.890 0.000 0.000
0.000 4.890 0.000
0.000 0.000 4.890
```

=====

# 5
## Ag3PtN (PBE)

Data for Ag3PtN after structural relaxation. Values from VASP.

Calculated values
As for the space group: Pm-3m (221). As for the density: 11.215 g cm⁻³.

```
&SYSTEM
  ibrav = 0, nat = 5, ntyp = 3
/
ATOMIC_SPECIES
Ag 107.87 Ag.upf
Pt 195.08 Pt.upf
N 14.01 N.upf
ATOMIC_POSITIONS crystal
Ag 0.000 0.500 0.000
Ag 0.000 0.000 0.500
Ag 0.500 0.000 0.000
Pt 0.500 0.500 0.500
N 0.000 0.000 0.000
CELL_PARAMETERS angstrom
4.289 0.000 0.000
0.000 4.289 0.000
0.000 0.000 4.289
```

=====

# 6
## Rb2AgPtN (PBE)

Data for Rb2AgPtN after structural relaxation. Values from VASP.

Calculated values
As for the space group: P4/mmm (123). As for the density: 5.341 g cm⁻³.

```
&SYSTEM
  ibrav = 0, nat = 5, ntyp = 4
/
ATOMIC_SPECIES
Rb 85.47 Rb.upf
Ag 107.87 Ag.upf
Pt 195.08 Pt.upf
N 14.01 N.upf
ATOMIC_POSITIONS crystal
Rb 0.000 0.500 0.000
Rb 0.500 0.000 0.000
Ag 0.500 0.500 0.500
Pt 0.000 0.000 0.500
N 0.000 0.000 0.000
CELL_PARAMETERS angstrom
6.379 0.000 0.000
0.000 6.379 0.000
0.000 0.000 3.728
```

=====

Quick rundown of N(E_F), same order as above: 0.293, 0.879, 0.460, 2.053, 0.228, 0.741 states/eV/atom
Quick rundown of formation energy (no corrections), same order as above: 223, 984, 415, 1376, 330, -9 kJ/mol of formula units
Quick rundown of total magnetic moment, same order as above: 0.00, 0.00, 0.00, 0.00, 0.00, 0.00 μB/f.u.